Computed, not measured: a relaxed CsCrAs2 crystal at the PBE level of DFT.

```
CsCrAs2
1.0
1.991 1.149 7.673
-1.991 1.149 7.673
0.000 -2.298 7.673
Cs Cr As
1 1 2
direct
0.000 0.000 0.000
0.500 0.500 0.500
0.213 0.213 0.213
0.787 0.787 0.787
```

Values from the calculation:
E_form	-0.115	eV/atom
energy above the most stable polymorph in this dataset	0.0	meV per atom
spin magnetization	2.32	μB/f.u.
SG	R-3m (166)

Computed, not measured: a relaxed NaYRhI2 crystal at the PBE level of DFT.

```
NaYRhI2
1.0
6.097 0.000 0.000
0.000 6.097 0.000
0.000 0.000 5.036
Na Y Rh I
1 1 1 2
direct
0.000 0.000 0.000
0.500 0.500 0.500
0.500 0.500 0.000
0.000 0.500 0.500
0.500 0.000 0.500
```

Values from the calculation:
spin magnetization	0.00	μB/f.u.
formation energy without anion corrections	-0.3076	eV per atom
SG	P4/mmm (123)

Computed, not measured: a relaxed Nd4Rh crystal at the PBE level of DFT.

```
Nd4Rh
1.0
5.600 0.000 0.000
0.000 5.600 0.000
0.000 0.000 5.600
Nd Rh
4 1
direct
0.000 0.000 0.000
0.000 0.500 0.500
0.500 0.000 0.500
0.500 0.500 0.000
0.500 0.500 0.500
```

Values from the calculation:
E_form	-0.138	eV/atom
energy above the most stable polymorph in this dataset	175.0	meV per atom
spin magnetization	1.47	μB/f.u.
SG	Pm-3m (221)

Computed, not measured: a relaxed NiSnH2 crystal at the PBE level of DFT.

```
NiSnH2
1.0
0.000 2.757 2.757
2.757 0.000 2.757
2.757 2.757 0.000
Ni Sn H
1 1 2
direct
0.000 0.000 0.000
0.500 0.500 0.500
0.250 0.250 0.250
0.750 0.750 0.750
```

Values from the calculation:
energy above the most stable polymorph in this dataset	658.5	meV per atom
spin magnetization	0.00	μB/f.u.
SG	Fm-3m (225)

Computed, not measured: a relaxed Ac2LaY crystal at the PBE level of DFT.

```
Ac2LaY
1.0
1.925 1.111 12.269
-1.925 1.111 12.269
0.000 -2.223 12.269
Ac La Y
2 1 1
direct
0.248 0.248 0.248
0.752 0.752 0.752
0.000 0.000 0.000
0.500 0.500 0.500
```

Values from the calculation:
E_form	0.031	eV/atom
energy above the most stable polymorph in this dataset	6.9	meV per atom
spin magnetization	0.00	μB/f.u.
SG	R-3m (166)

Computed, not measured: a relaxed NdDyY2S4 crystal at the PBE level of DFT.

```
NdDyY2S4
1.0
6.870 0.000 0.000
0.000 3.915 0.000
-2.237 0.000 6.503
Nd Dy Y S
1 1 2 4
direct
0.000 0.000 0.000
0.000 0.500 0.500
0.500 0.000 0.500
0.500 0.500 0.000
0.254 0.000 0.744
0.259 0.500 0.260
0.741 0.500 0.740
0.746 0.000 0.256
```

Values from the calculation:
spin magnetization	0.00	μB/f.u.
formation energy without anion corrections	-1.9974	eV per atom
SG	P2/m (10)

Computed, not measured: a relaxed AgRuCl5 crystal at the PBE level of DFT.

```
AgRuCl5
1.0
4.645 -5.105 0.000
4.645 5.105 0.000
-4.340 0.000 8.033
Ag Ru Cl
2 2 10
direct
0.130 0.870 0.750
0.870 0.130 0.250
0.500 0.500 0.000
0.500 0.500 0.500
0.171 0.273 0.851
0.214 0.656 0.507
0.273 0.171 0.351
0.344 0.786 0.993
0.426 0.574 0.250
0.574 0.426 0.750
0.656 0.214 0.007
0.727 0.829 0.649
0.786 0.344 0.493
0.829 0.727 0.149
```

Values from the calculation:
spin magnetization	2.03	μB/f.u.
formation energy without anion corrections	-0.4255	eV per atom
SG	C2/c (15)

Computed, not measured: a relaxed K2LiAlI6 crystal at the PBE level of DFT.

```
K2LiAlI6
1.0
8.112 0.000 0.000
-4.056 7.025 0.000
0.000 0.000 7.155
K Li Al I
2 1 1 6
direct
0.333 0.667 0.163
0.667 0.333 0.837
0.000 0.000 0.500
0.000 0.000 0.000
0.160 0.321 0.771
0.160 0.840 0.771
0.321 0.160 0.229
0.679 0.840 0.771
0.840 0.160 0.229
0.840 0.679 0.229
```

Values from the calculation:
spin magnetization	0.00	μB/f.u.
formation energy without anion corrections	-1.0404	eV per atom
SG	P-3m1 (164)

Computed, not measured: a relaxed Mg2HgSe crystal at the PBE level of DFT.

```
Mg2HgSe
1.0
-1.959 1.959 6.004
1.959 -1.959 6.004
1.959 1.959 -6.004
Mg Hg Se
2 1 1
direct
0.000 0.000 0.000
0.750 0.250 0.500
0.500 0.500 0.000
0.250 0.750 0.500
```

Values from the calculation:
energy above the most stable polymorph in this dataset	132.4	meV per atom
spin magnetization	0.00	μB/f.u.
formation energy without anion corrections	-0.4329	eV per atom
SG	I-4m2 (119)

Computed, not measured: a relaxed HfAgOs3 crystal at the PBE level of DFT.

```
HfAgOs3
1.0
4.697 0.000 0.000
0.000 4.697 0.000
0.000 0.000 4.697
Hf Ag Os
1 1 3
direct
0.000 0.000 0.000
0.500 0.500 0.500
0.000 0.500 0.500
0.500 0.000 0.500
0.500 0.500 0.000
```

Values from the calculation:
E_form	2.462	eV/atom
energy above the most stable polymorph in this dataset	116.8	meV per atom
spin magnetization	0.00	μB/f.u.
SG	Pm-3m (221)

Computed, not measured: a relaxed LiLa2Nb8O24 crystal at the PBE level of DFT.

```
LiLa2Nb8O24
1.0
3.959 -7.991 0.000
3.959 7.991 0.000
0.000 0.000 7.878
Li La Nb O
1 2 8 24
direct
0.000 0.000 0.000
0.000 0.000 0.500
0.500 0.500 0.000
0.121 0.381 0.249
0.121 0.381 0.751
0.381 0.121 0.249
0.381 0.121 0.751
0.619 0.879 0.249
0.619 0.879 0.751
0.879 0.619 0.249
0.879 0.619 0.751
0.000 0.500 0.217
0.000 0.500 0.783
0.118 0.882 0.274
0.118 0.882 0.726
0.130 0.394 0.500
0.132 0.327 0.000
0.243 0.243 0.281
0.243 0.243 0.719
0.327 0.132 0.000
0.384 0.616 0.216
0.384 0.616 0.784
0.394 0.130 0.500
0.500 0.000 0.217
0.500 0.000 0.783
0.606 0.870 0.500
0.616 0.384 0.216
0.616 0.384 0.784
0.673 0.868 0.000
0.757 0.757 0.281
0.757 0.757 0.719
0.868 0.673 0.000
0.870 0.606 0.500
0.882 0.118 0.274
0.882 0.118 0.726
```

Values from the calculation:
spin magnetization	1.10	μB/f.u.
formation energy without anion corrections	-2.6208	eV per atom
SG	Cmmm (65)

Computed, not measured: a relaxed CePm3Y2Te6 crystal at the PBE level of DFT.

```
CePm3Y2Te6
1.0
9.661 -2.205 0.000
9.661 2.205 0.000
-2.028 0.000 8.702
Ce Pm Y Te
1 3 2 6
direct
0.000 0.000 0.000
0.000 0.000 0.500
0.337 0.337 0.167
0.663 0.663 0.833
0.335 0.335 0.669
0.665 0.665 0.331
0.169 0.169 0.090
0.169 0.169 0.578
0.497 0.497 0.747
0.503 0.503 0.253
0.831 0.831 0.422
0.831 0.831 0.910
```

Values from the calculation:
spin magnetization	1.28	μB/f.u.
formation energy without anion corrections	-1.3728	eV per atom
SG	C2/m (12)

Computed, not measured: a relaxed Cd3CuAg crystal at the PBE level of DFT.

```
Cd3CuAg
1.0
3.023 0.000 0.000
0.000 9.074 0.000
0.000 0.000 7.484
Cd Cu Ag
6 2 2
direct
0.250 0.026 0.185
0.250 0.250 0.708
0.250 0.474 0.185
0.750 0.526 0.815
0.750 0.750 0.292
0.750 0.974 0.815
0.250 0.750 0.978
0.750 0.250 0.022
0.250 0.750 0.615
0.750 0.250 0.385
```

Values from the calculation:
E_form	0.069	eV/atom
energy above the most stable polymorph in this dataset	28.8	meV per atom
spin magnetization	0.00	μB/f.u.
SG	Pmmn (59)

Computed, not measured: a relaxed Be5V crystal at the PBE level of DFT.

```
Be5V
1.0
1.691 -4.662 0.000
1.691 4.662 0.000
0.000 0.000 3.443
Be V
5 1
direct
0.000 0.000 0.000
0.185 0.815 0.500
0.334 0.666 0.000
0.666 0.334 0.000
0.815 0.185 0.500
0.500 0.500 0.500
```

Values from the calculation:
E_form	-0.025	eV/atom
spin magnetization	0.00	μB/f.u.
SG	Cmmm (65)

Computed, not measured: a relaxed NaTaV3 crystal at the PBE level of DFT.

```
NaTaV3
1.0
4.797 0.000 0.000
0.000 4.797 0.000
0.000 0.000 4.797
Na Ta V
1 1 3
direct
0.000 0.000 0.000
0.500 0.500 0.500
0.000 0.500 0.500
0.500 0.000 0.500
0.500 0.500 0.000
```

Values from the calculation:
E_form	1.480	eV/atom
energy above the most stable polymorph in this dataset	0.0	meV per atom
spin magnetization	4.11	μB/f.u.
SG	Pm-3m (221)

Computed, not measured: a relaxed Zr2TcH2 crystal at the PBE level of DFT.

```
Zr2TcH2
1.0
3.234 0.000 0.000
0.000 3.234 0.000
0.000 0.000 6.378
Zr Tc H
2 1 2
direct
0.000 0.000 0.244
0.000 0.000 0.756
0.500 0.500 0.500
0.000 0.500 0.000
0.500 0.000 0.000
```

Values from the calculation:
energy above the most stable polymorph in this dataset	173.9	meV per atom
spin magnetization	0.00	μB/f.u.
SG	P4/mmm (123)

Computed, not measured: a relaxed Pm2SmOs crystal at the PBE level of DFT.

```
Pm2SmOs
1.0
7.472 0.000 0.000
0.000 9.493 0.000
0.000 0.000 6.487
Pm Sm Os
8 4 4
direct
0.175 0.065 0.170
0.175 0.435 0.170
0.325 0.565 0.670
0.325 0.935 0.670
0.675 0.065 0.330
0.675 0.435 0.330
0.825 0.565 0.830
0.825 0.935 0.830
0.042 0.250 0.638
0.458 0.750 0.138
0.542 0.250 0.862
0.958 0.750 0.362
0.115 0.750 0.954
0.385 0.250 0.454
0.615 0.750 0.546
0.885 0.250 0.046
```

Values from the calculation:
E_form	-0.139	eV/atom
energy above the most stable polymorph in this dataset	0.0	meV per atom
spin magnetization	0.00	μB/f.u.
SG	Pnma (62)

Computed, not measured: a relaxed K2In2Hg crystal at the PBE level of DFT.

```
K2In2Hg
1.0
-2.423 2.423 8.148
2.423 -2.423 8.148
2.423 2.423 -8.148
K In Hg
2 2 1
direct
0.250 0.750 0.500
0.750 0.250 0.500
0.087 0.087 0.000
0.913 0.913 0.000
0.500 0.500 0.000
```

Values from the calculation:
E_form	0.198	eV/atom
energy above the most stable polymorph in this dataset	332.8	meV per atom
spin magnetization	0.00	μB/f.u.
SG	I4/mmm (139)

Computed, not measured: a relaxed PmEuSnAu crystal at the PBE level of DFT.

```
PmEuSnAu
1.0
0.000 3.815 3.815
3.815 0.000 3.815
3.815 3.815 0.000
Pm Eu Sn Au
1 1 1 1
direct
0.000 0.000 0.000
0.500 0.500 0.500
0.750 0.750 0.750
0.250 0.250 0.250
```

Values from the calculation:
E_form	-0.736	eV/atom
spin magnetization	7.21	μB/f.u.
SG	F-43m (216)

Computed, not measured: a relaxed TeCl2F crystal at the PBE level of DFT.

```
TeCl2F
1.0
1.787 1.032 8.468
-1.787 1.032 8.468
0.000 -2.063 8.468
Te Cl F
1 2 1
direct
0.000 0.000 0.000
0.095 0.095 0.095
0.905 0.905 0.905
0.500 0.500 0.500
```

Values from the calculation:
energy above the most stable polymorph in this dataset	161.9	meV per atom
spin magnetization	0.69	μB/f.u.
formation energy without anion corrections	-0.0607	eV per atom
SG	R-3m (166)